one:
Compound: HfScIn3
Source: Alexandria
Functional: PBE
Structure: optimized geometry

The symmetry is Pmmn (59). For the volume, the calculation gives 119.8 Å³/f.u.

extended XYZ file:
```
10
Lattice="4.6004 -0.0010 0.0000 0.0015 6.6036 0.0000 0.0000 0.0000 7.8864" Properties=species:S:1:pos:R:3 pbc="T T T"
Hf 3.4514 4.9520 3.4836
Hf 1.1505 1.6507 4.4028
Sc 3.4507 1.6502 1.6995
Sc 1.1512 4.9525 6.1869
In 3.4514 4.9520 0.4913
In 1.1505 1.6507 7.3951
In 3.4503 0.1867 5.7339
In 3.4510 3.1137 5.7339
In 1.1516 6.4160 2.1526
In 1.1509 3.4890 2.1526
```

=====

two:
Compound: HfScIn3
Source: Alexandria
Functional: PBE
Structure: optimized geometry

The symmetry is Pm-3m (221). For the volume, the calculation gives 158.3 Å³/f.u.

extended XYZ file:
```
5
Lattice="5.4093 0.0000 0.0000 0.0000 5.4093 0.0000 0.0000 0.0000 5.4093" Properties=species:S:1:pos:R:3 pbc="T T T"
Sc 2.7046 2.7046 2.7046
Hf 0.0000 0.0000 0.0000
In 0.0000 2.7046 0.0000
In 0.0000 0.0000 2.7046
In 2.7046 0.0000 0.0000
```

=====

Least stable of them? two.

=====

one:
Compound: Hf2Sc2In
Source: Alexandria
Functional: PBE
Structure: optimized geometry

The symmetry is Cmcm (63). For the volume, the calculation gives 112.8 Å³/f.u.

extended XYZ file:
```
10
Lattice="4.3594 0.0000 -0.7749 0.0000 4.4290 0.0000 -0.1658 0.0000 11.7174" Properties=species:S:1:pos:R:3 pbc="T T T"
Hf 3.1849 1.1073 5.2674
Hf 1.0087 3.3218 5.6751
Hf 3.5723 3.3218 7.4473
Hf 0.6213 1.1073 3.4952
Sc 0.2066 3.3218 1.1625
Sc 1.7965 3.3218 10.1069
Sc 3.9870 1.1073 9.7800
Sc 2.3971 1.1073 0.8356
In 1.4088 1.1073 7.9258
In 2.7848 3.3218 3.0167
```

=====

two:
Compound: Hf2Sc2In
Source: Alexandria
Functional: PBE
Structure: optimized geometry

The symmetry is P4/mbm (127). For the volume, the calculation gives 118.6 Å³/f.u.

extended XYZ file:
```
10
Lattice="-4.5384 2.6388 5.5525 -3.3153 -6.8626 0.5517 2.7517 -1.1063 2.7749" Properties=species:S:1:pos:R:3 pbc="T T T"
Sc -1.5056 -4.6426 2.6144
Sc -4.3992 -4.6157 5.4946
Sc -3.5964 -0.6874 6.2646
Sc -0.7028 -0.7143 3.3844
Hf -4.5099 -4.9652 2.4927
Hf -6.0287 -2.0925 5.1440
Hf -3.3438 0.7415 3.6115
Hf -1.8250 -2.1312 0.9601
In 0.0000 0.0000 0.0000
In -3.9268 -2.1119 3.0521
```

=====

Least stable of them? two.

=====

one:
Compound: Hf2InSe
Source: Alexandria
Functional: PBE
Structure: optimized geometry

The symmetry is R3m (160). For the volume, the calculation gives 85.5 Å³/f.u.

extended XYZ file:
```
4
Lattice="-1.6304 2.7738 1.1057 -1.9205 1.8126 -2.1449 -7.9530 -3.2548 1.6724" Properties=species:S:1:pos:R:3 pbc="T T T"
Hf -6.4539 -2.1955 1.2254
Hf -2.6813 0.4705 0.1002
In -5.7544 0.6641 0.3173
Se -10.3192 -0.1965 0.9793
```

=====

two:
Compound: Hf2InSe
Source: Alexandria
Functional: PBE
Structure: optimized geometry

The symmetry is Fm-3m (225). For the volume, the calculation gives 83.0 Å³/f.u.

extended XYZ file:
```
4
Lattice="0.0000 3.4624 3.4624 3.4624 0.0000 3.4624 3.4624 3.4624 0.0000" Properties=species:S:1:pos:R:3 pbc="T T T"
Hf 1.7312 1.7312 1.7312
Hf 5.1937 5.1937 5.1937
Se 0.0000 0.0000 0.0000
In 3.4624 3.4624 3.4624
```

=====

three:
Compound: Hf2InSe
Source: Alexandria
Functional: PBE
Structure: optimized geometry

The symmetry is I-42d (122). For the volume, the calculation gives 92.7 Å³/f.u.

extended XYZ file:
```
8
Lattice="-3.6548 -0.7148 -2.0764 2.0860 0.1296 -3.7164 0.8563 -10.3384 -2.3257" Properties=species:S:1:pos:R:3 pbc="T T T"
Hf -1.8029 -3.0139 -2.3400
Hf 1.0544 -2.5943 -3.1674
Hf 0.0576 -7.9731 -3.9232
Hf -0.7342 -8.2662 -6.8063
Se -0.7844 -0.2926 -2.8964
Se 1.0789 -5.2507 -4.4692
In 0.0000 0.0000 0.0000
In -1.7915 -5.6730 -3.6492
```

=====

Least stable of them? three.

=====

one:
Compound: HfInSe3
Source: Alexandria
Functional: PBE
Structure: optimized geometry

The symmetry is Pm-3m (221). For the volume, the calculation gives 142.7 Å³/f.u.

extended XYZ file:
```
5
Lattice="-4.4283 -1.1534 -2.5235 2.7469 -2.4916 -3.6816 -0.3906 -4.4463 2.7177" Properties=species:S:1:pos:R:3 pbc="T T T"
Hf 0.0000 0.0000 0.0000
Se 1.3735 -1.2458 -1.8408
Se -0.1953 -2.2232 1.3588
Se -2.2142 -0.5767 -1.2617
In -1.0360 -4.0456 -1.7437
```

=====

two:
Compound: HfInSe3
Source: Alexandria
Functional: PBE
Structure: optimized geometry

The symmetry is Pm-3m (221). For the volume, the calculation gives 134.6 Å³/f.u.

extended XYZ file:
```
5
Lattice="5.1244 0.0000 0.0000 0.0000 5.1244 0.0000 0.0000 0.0000 5.1244" Properties=species:S:1:pos:R:3 pbc="T T T"
Hf 2.5622 2.5622 2.5622
Se 0.0000 2.5622 0.0000
Se 0.0000 0.0000 2.5622
Se 2.5622 0.0000 0.0000
In 0.0000 0.0000 0.0000
```

=====

three:
Compound: HfInSe3
Source: Alexandria
Functional: PBE
Structure: optimized geometry

The symmetry is R-3 (148). For the volume, the calculation gives 134.3 Å³/f.u.

extended XYZ file:
```
10
Lattice="-2.6500 5.9540 2.2462 -4.5563 3.4250 -3.8765 -7.2814 -0.1252 2.3188" Properties=species:S:1:pos:R:3 pbc="T T T"
Hf -9.5916 3.0624 1.7214
Hf -4.8961 6.1914 -1.0330
In -5.3016 1.1942 1.1574
In -9.1861 8.0596 -0.4690
Se -7.8115 1.9114 0.1043
Se -7.7009 4.3634 3.0783
Se -4.5164 4.1483 0.6374
Se -6.7867 4.8903 -2.3899
Se -6.6762 7.3424 0.5841
Se -9.9712 5.1055 0.0510
```

=====

Least stable of them? two.

=====

one:
Compound: HfIn2Si2
Source: Alexandria
Functional: PBE
Structure: optimized geometry

The symmetry is I4/mmm (139). For the volume, the calculation gives 108.8 Å³/f.u.

extended XYZ file:
```
5
Lattice="-2.0297 -1.4346 -3.0148 -2.1927 -2.0879 2.4698 -6.7033 3.6644 0.2373" Properties=species:S:1:pos:R:3 pbc="T T T"
Si -2.8600 -0.8766 -0.1894
Si -8.0658 1.0185 -0.1184
Hf 0.0000 0.0000 0.0000
In -5.4221 0.2343 -1.5250
In -5.5036 -0.0924 1.2173
```

=====

two:
Compound: HfIn2Si2
Source: Alexandria
Functional: PBE
Structure: optimized geometry

The symmetry is P4/mbm (127). For the volume, the calculation gives 100.9 Å³/f.u.

extended XYZ file:
```
10
Lattice="-3.2924 -2.3278 5.7358 5.5524 -3.9828 1.5707 1.6027 3.0921 2.1749" Properties=species:S:1:pos:R:3 pbc="T T T"
Si 3.6269 -4.3668 3.5357
Si 0.5768 -4.5238 6.0064
Si -1.3669 -1.9438 3.7709
Si 1.6831 -1.7869 1.3001
Hf 0.0000 0.0000 0.0000
Hf 1.1300 -3.1553 3.6533
In 3.9887 -1.5935 3.2022
In 3.0983 -3.2995 6.2839
In -0.1261 -1.6250 6.2793
In 0.7644 0.0810 3.1976
```

=====

Least stable of them? one.

=====

one:
Compound: Hf2InSi
Source: Alexandria
Functional: PBE
Structure: optimized geometry

The symmetry is Fm-3m (225). For the volume, the calculation gives 79.2 Å³/f.u.

extended XYZ file:
```
4
Lattice="-4.5631 -1.5316 0.2617 -3.1031 1.0555 -3.5345 -1.5506 -3.4720 -2.9625" Properties=species:S:1:pos:R:3 pbc="T T T"
Si 0.0000 0.0000 0.0000
Hf -2.3042 -0.9870 -1.5588
Hf -6.9126 -2.9611 -4.6765
In -4.6084 -1.9741 -3.1176
```

=====

two:
Compound: Hf2InSi
Source: Alexandria
Functional: PBE
Structure: optimized geometry

The symmetry is R-3m (166). For the volume, the calculation gives 86.7 Å³/f.u.

extended XYZ file:
```
4
Lattice="-2.6304 -2.3337 -0.8541 -0.0940 -3.2677 1.5519 -5.2311 0.9388 5.8790" Properties=species:S:1:pos:R:3 pbc="T T T"
Si 0.0000 0.0000 0.0000
Hf -1.7819 -1.3000 1.3738
Hf -6.1736 -3.3626 5.2030
In -3.9777 -2.3313 3.2884
```

=====

Least stable of them? one.

=====

one:
Compound: HfInSi3
Source: Alexandria
Functional: PBE
Structure: optimized geometry

The symmetry is Pm-3m (221). For the volume, the calculation gives 132.4 Å³/f.u.

extended XYZ file:
```
5
Lattice="5.0964 0.0000 0.0000 0.0000 5.0964 0.0000 0.0000 0.0000 5.0964" Properties=species:S:1:pos:R:3 pbc="T T T"
Si 0.0000 2.5482 0.0000
Si 0.0000 0.0000 2.5482
Si 2.5482 0.0000 0.0000
Hf 0.0000 0.0000 0.0000
In 2.5482 2.5482 2.5482
```

=====

two:
Compound: HfInSi3
Source: Alexandria
Functional: PBE
Structure: optimized geometry

The symmetry is Pm-3m (221). For the volume, the calculation gives 121.5 Å³/f.u.

extended XYZ file:
```
5
Lattice="-0.2780 4.3426 -2.3646 -2.4721 -2.1732 -3.7004 -4.2823 0.9726 2.2897" Properties=species:S:1:pos:R:3 pbc="T T T"
Si -1.2361 -1.0866 -1.8502
Si -2.1412 0.4863 1.1449
Si -0.1390 2.1713 -1.1823
Hf -3.5162 1.5710 -1.8876
In 0.0000 0.0000 0.0000
```

=====

Least stable of them? two.

=====

one:
Compound: SmHf2In
Source: Alexandria
Functional: PBE
Structure: optimized geometry

The symmetry is R-3m (166). For the volume, the calculation gives 99.7 Å³/f.u.

extended XYZ file:
```
4
Lattice="-1.2046 -1.8103 -2.3040 1.4036 -2.7360 -0.7623 -6.4326 -6.9961 6.6822" Properties=species:S:1:pos:R:3 pbc="T T T"
Hf -4.6400 -5.4843 4.5571
Hf -1.5936 -6.0581 -0.9412
Sm 0.0000 0.0000 0.0000
In -3.1168 -5.7712 1.8079
```

=====

two:
Compound: SmHf2In
Source: Alexandria
Functional: PBE
Structure: optimized geometry

The symmetry is P4/mmm (123). For the volume, the calculation gives 96.2 Å³/f.u.

extended XYZ file:
```
4
Lattice="-2.1529 3.5921 -1.8454 -0.7920 -2.4296 -3.8053 -3.9666 -1.4707 1.7647" Properties=species:S:1:pos:R:3 pbc="T T T"
Hf -1.9833 -0.7354 0.8823
Hf -0.3960 -1.2148 -1.9026
Sm -1.0764 1.7961 -0.9227
In -3.4558 -0.1541 -1.9430
```

=====

Least stable of them? one.

=====

one:
Compound: SmHfIn
Source: Alexandria
Functional: PBE
Structure: optimized geometry

The symmetry is I4mm (107). For the volume, the calculation gives 78.0 Å³/f.u.

extended XYZ file:
```
3
Lattice="3.4279 0.0000 0.0000 0.0000 3.4279 0.0000 -1.7139 -1.7139 6.6415" Properties=species:S:1:pos:R:3 pbc="T T T"
Hf 0.0000 0.0000 4.3095
Sm 1.7139 1.7139 6.6339
In 1.7139 1.7139 2.3395
```

=====

two:
Compound: SmHfIn
Source: Alexandria
Functional: PBE
Structure: optimized geometry

The symmetry is P3m1 (156). For the volume, the calculation gives 79.9 Å³/f.u.

extended XYZ file:
```
3
Lattice="3.5014 0.0000 0.0000 0.0000 5.1338 0.0000 0.0000 -2.5669 4.4460" Properties=species:S:1:pos:R:3 pbc="T T T"
Hf 0.5885 0.0000 0.0000
Sm 2.3360 2.5669 1.4820
In 0.5769 0.0000 2.9640
```

=====

three:
Compound: SmHfIn
Source: Alexandria
Functional: PBE
Structure: optimized geometry

The symmetry is R-3m (166). For the volume, the calculation gives 83.9 Å³/f.u.

extended XYZ file:
```
6
Lattice="4.9992 0.0000 0.0000 2.4996 4.3294 0.0000 2.4996 1.4431 7.7504" Properties=species:S:1:pos:R:3 pbc="T T T"
Hf 0.0000 0.0000 0.0000
Hf 4.9992 2.8863 3.8752
Sm 2.4996 1.4431 1.4719
Sm 7.4988 4.3294 6.2784
In 2.4996 1.4431 4.8000
In 7.4988 4.3294 2.9504
```

=====

Least stable of them? three.

=====

one:
Compound: Hf3InSn
Source: Alexandria
Functional: PBE
Structure: optimized geometry

The symmetry is Pm-3m (221). For the volume, the calculation gives 141.9 Å³/f.u.

extended XYZ file:
```
5
Lattice="5.2153 0.0000 0.0000 0.0000 5.2153 0.0000 0.0000 0.0000 5.2153" Properties=species:S:1:pos:R:3 pbc="T T T"
Hf 0.0000 2.6077 0.0000
Hf 0.0000 0.0000 2.6077
Hf 2.6077 0.0000 0.0000
Sn 0.0000 0.0000 0.0000
In 2.6077 2.6077 2.6077
```

=====

two:
Compound: Hf3InSn
Source: Alexandria
Functional: PBE
Structure: optimized geometry

The symmetry is C2/c (15). For the volume, the calculation gives 113.9 Å³/f.u.

extended XYZ file:
```
20
Lattice="6.0179 0.2523 0.0463 3.1671 5.1234 0.0463 3.8435 2.2495 15.2113" Properties=species:S:1:pos:R:3 pbc="T T T"
Hf 9.6284 6.6131 12.1220
Hf 4.4693 3.5936 10.7877
Hf 3.4001 1.0121 3.1820
Hf 8.5592 4.0315 4.5163
Hf 8.7343 6.3298 9.1403
Hf 5.1541 4.2344 13.7693
Hf 4.2942 1.2953 6.1637
Hf 7.8744 3.3907 1.5346
Hf 7.3627 6.4192 14.2530
Hf 5.7478 5.4741 8.6567
Hf 7.2807 2.1511 6.6473
Hf 5.6658 1.2059 1.0510
In 8.3688 3.8323 13.0553
In 7.5106 3.3301 9.8544
In 4.6597 3.7928 2.2487
In 5.5179 4.2951 5.4496
Sn 3.5053 3.6864 7.6288
Sn 3.0090 0.1261 0.0232
Sn 6.4327 1.7477 3.8492
Sn 6.5958 5.8774 11.4548
```

=====

Least stable of them? one.

=====

one:
Compound: Hf6InSn
Source: Alexandria
Functional: PBE
Structure: optimized geometry

The symmetry is P4/mmm (123). For the volume, the calculation gives 173.7 Å³/f.u.

extended XYZ file:
```
8
Lattice="4.4280 0.0000 0.0000 0.0000 4.4280 0.0000 0.0000 0.0000 8.8572" Properties=species:S:1:pos:R:3 pbc="T T T"
Hf 2.2140 2.2140 0.0000
Hf 2.2140 2.2140 4.4286
Hf 2.2140 0.0000 2.2199
Hf 2.2140 0.0000 6.6373
Hf 0.0000 2.2140 2.2199
Hf 0.0000 2.2140 6.6373
In 0.0000 0.0000 0.0000
Sn 0.0000 0.0000 4.4286
```

=====

two:
Compound: Hf6InSn
Source: Alexandria
Functional: PBE
Structure: optimized geometry

The symmetry is Pm-3 (200). For the volume, the calculation gives 174.6 Å³/f.u.

extended XYZ file:
```
8
Lattice="7.9001 0.0151 0.2969 3.9370 6.8534 0.2007 3.8237 2.2645 3.3890" Properties=species:S:1:pos:R:3 pbc="T T T"
Hf 4.8392 5.1242 2.6441
Hf 8.7934 1.7128 2.7678
Hf 5.8935 2.2894 1.0462
Hf 6.8674 7.4203 1.1188
Hf 10.8216 4.0089 1.2424
Hf 9.7673 6.8437 2.8404
In 7.8304 4.5666 1.9433
Sn 0.0000 0.0000 0.0000
```

=====

Least stable of them? two.

=====

one:
Compound: HfInSn3
Source: Alexandria
Functional: PBE
Structure: optimized geometry

The symmetry is Pm-3m (221). For the volume, the calculation gives 170.6 Å³/f.u.

extended XYZ file:
```
5
Lattice="-1.6213 0.3481 -5.2920 2.3223 -4.9284 -1.0357 -4.7680 -2.5188 1.2950" Properties=species:S:1:pos:R:3 pbc="T T T"
Hf 0.0000 0.0000 0.0000
Sn 1.1611 -2.4642 -0.5178
Sn -2.3840 -1.2594 0.6475
Sn -0.8106 0.1741 -2.6460
In -2.0335 -3.5495 -2.5163
```

=====

two:
Compound: HfInSn3
Source: Alexandria
Functional: PBE
Structure: optimized geometry

The symmetry is Pm-3m (221). For the volume, the calculation gives 162.5 Å³/f.u.

extended XYZ file:
```
5
Lattice="-2.5889 -2.8016 -3.9021 4.7699 -2.0237 -1.7117 -0.5683 -4.2229 3.4090" Properties=species:S:1:pos:R:3 pbc="T T T"
Hf 0.8064 -4.5241 -1.1024
Sn 2.3850 -1.0119 -0.8559
Sn -0.2841 -2.1115 1.7045
Sn -1.2945 -1.4008 -1.9510
In 0.0000 0.0000 0.0000
```

=====

Least stable of them? two.